No. 1
A relaxed structure of Zn3GeRh. Source: Alexandria, functional PBE-GGA.

Lattice parameters (Å, degrees): 4.612 4.612 4.612 90.00 90.00 90.00
Space group Pm-3m (No. 221)
Symmetry-distinct sites (fractional):
Zn: 0.000 0.000 0.500 x3
Ge: 0.000 0.000 0.000 x1
Rh: 0.500 0.500 0.500 x1

Values from the calculation:
Crystal system ... cubic
Energy of formation from the pure elements ... 0.804 eV/atom
E_tot ... -2.354 eV per atom
Polymorph energy (0 for the lowest one) ... 204.2 kJ/mol of formula units

No. 2
A relaxed structure of Zn5GeRh4. Source: Alexandria, functional PBE-GGA.

Lattice parameters (Å, degrees): 13.963 4.073 5.318 90.00 111.12 90.00
Space group C2/m (No. 12)
Symmetry-distinct sites (fractional):
Zn: 0.000 0.000 0.000 x2
Zn: 0.115 0.500 0.309 x4
Zn: 0.210 0.000 0.113 x4
Ge: 0.000 0.000 0.500 x2
Rh: 0.081 0.500 0.793 x4
Rh: 0.192 0.000 0.606 x4

Values from the calculation:
Crystal system ... monoclinic
Energy of formation from the pure elements ... -0.398 eV/atom
E_tot ... -4.438 eV per atom

No. 3
A relaxed structure of Zn6GeRh2. Source: Alexandria, functional PBE-GGA.

Lattice parameters (Å, degrees): 12.316 3.847 5.873 90.00 111.01 90.00
Space group C2/m (No. 12)
Symmetry-distinct sites (fractional):
Zn: 0.105 0.000 0.146 x4
Zn: 0.177 0.500 0.498 x4
Zn: 0.229 0.000 0.845 x4
Ge: 0.000 0.000 0.500 x2
Rh: 0.051 0.500 0.789 x4

Values from the calculation:
Crystal system ... monoclinic
Energy of formation from the pure elements ... -0.235 eV/atom
E_tot ... -3.231 eV per atom